CsYV2 | PBE | relaxed

Calculated values
The calculated formation energy comes out at 1.45 eV/atom. Its symmetry is Fm-3m.

The structure in POSCAR format:
```
CsYV2
1.0
0.0000 3.8666 3.8666
3.8666 0.0000 3.8666
3.8666 3.8666 0.0000
Cs Y V
1 1 2
Cartesian
0.0000 0.0000 0.0000
3.8666 3.8666 3.8666
1.9333 1.9333 1.9333
5.8000 5.8000 5.8000
```